Compound: Mn2FeO3
Source: Alexandria
Functional: PBE+U
Structure: relaxed

Structure (CIF):
```
data_Mn2FeO3
_symmetry_space_group_name_H-M 'P 1 2/m 1'
_symmetry_Int_Tables_number 10
_cell_length_a 5.5221
_cell_length_b 3.1333
_cell_length_c 7.7807
_cell_angle_alpha 90.00
_cell_angle_beta 90.45
_cell_angle_gamma 90.00
loop_
_symmetry_equiv_pos_as_xyz
'x,y,z'
'-x,-y,-z'
'-x,y,-z'
'x,-y,z'
loop_
_atom_site_label
_atom_site_type_symbol
_atom_site_fract_x
_atom_site_fract_y
_atom_site_fract_z
_atom_site_occupancy
Mn1 Mn 0.0000 0.0000 0.0000 1
Mn2 Mn 0.1667 0.5000 0.6641 1
Mn3 Mn 0.5000 0.5000 0.0000 1
Fe1 Fe 0.3341 0.0000 0.3328 1
O1 O 0.0000 0.0000 0.5000 1
O2 O 0.1710 0.5000 0.1703 1
O3 O 0.3318 0.0000 0.8333 1
O4 O 0.5000 0.5000 0.5000 1
```

Computed properties:
Distance to the lowest polymorph of the same formula (meV per atom): 0.0
DFT total energy (eV/cell): -89.107
D(E_F) (states/eV per cell): 0.67